Computed, not measured: a relaxed structure of Ac7Nd12Sm at the PBE level of DFT.

Cell lengths 10.5484, 10.5484, 10.5484 Å; angles 109.47, 109.47, 109.47 degrees
Atoms (fractional coordinates):
1 Ac 0.0000 0.0000 0.5000
2 Ac 0.5000 0.0000 0.5000
3 Nd 0.3257 0.2429 0.5686
4 Ac 0.5000 0.5000 0.0000
5 Nd 0.3257 0.7571 0.0828
6 Nd 0.4314 0.6743 0.7571
7 Nd 0.7571 0.0828 0.3257
8 Nd 0.7571 0.4314 0.6743
9 Nd 0.2429 0.9172 0.6743
10 Nd 0.9172 0.6743 0.2429
11 Nd 0.0828 0.3257 0.7571
12 Nd 0.2429 0.5686 0.3257
13 Sm 0.0000 0.0000 0.0000
14 Nd 0.6743 0.7571 0.4314
15 Nd 0.5686 0.3257 0.2429
16 Nd 0.6743 0.2429 0.9172
17 Ac 0.0000 0.5000 0.5000
18 Ac 0.5000 0.0000 0.0000
19 Ac 0.5000 0.5000 0.5000
20 Ac 0.0000 0.5000 0.0000

Output
energy of formation = 786 meV per atom